[1]
{"formula": "DyTmBe2", "functional": "PBE", "state": "relaxed", "final_energy_ev_per_fu": -16.19, "spacegroup": "P4/mmm, No. 123", "cell": [[3.399, 0.000, 0.000], [0.000, 4.770, 0.000], [0.000, 0.000, 4.770]], "species": ["Be", "Be", "Tm", "Dy"], "fractional_positions": [[0.000, 0.000, 0.500], [0.000, 0.500, 0.000], [0.500, 0.000, 0.000], [0.500, 0.500, 0.500]]}


[2]
{"formula": "DyTm2Be", "functional": "PBE", "state": "relaxed", "final_energy_ev_per_fu": -14.55, "spacegroup": "R-3m, No. 166", "cell": [[-0.292, 2.960, -1.631], [-2.329, 0.371, -2.438], [-8.348, 4.602, 6.315]], "species": ["Dy", "Tm", "Tm", "Be"], "fractional_positions": [[0.500, 0.500, 0.500], [0.916, 0.916, 0.252], [0.084, 0.084, 0.748], [0.000, 0.000, 0.000]]}


[3]
{"formula": "DyBe17V", "functional": "PBE", "state": "relaxed", "final_energy_ev_per_fu": -79.10, "spacegroup": "R3m, No. 160", "cell": [[5.608, 0.015, 0.678], [0.603, 5.576, 0.678], [0.017, 0.015, 5.649]], "species": ["Be", "Be", "Be", "Be", "Be", "Be", "Be", "Be", "Be", "Be", "Be", "Be", "Be", "Be", "Be", "Be", "Be", "V", "Dy"], "fractional_positions": [[0.102, 0.102, 0.102], [0.652, 0.163, 0.652], [0.708, 0.005, 0.287], [0.002, 0.499, 0.002], [0.340, 0.849, 0.340], [0.652, 0.652, 0.163], [0.163, 0.652, 0.652], [0.005, 0.708, 0.287], [0.849, 0.340, 0.340], [0.002, 0.002, 0.499], [0.287, 0.005, 0.708], [0.499, 0.002, 0.002], [0.340, 0.340, 0.849], [0.708, 0.287, 0.005], [0.287, 0.708, 0.005], [0.005, 0.287, 0.708], [0.908, 0.908, 0.908], [0.332, 0.332, 0.332], [0.661, 0.661, 0.661]]}


[4]
{"formula": "DyYBe", "functional": "PBE", "state": "relaxed", "final_energy_ev_per_fu": -13.95, "spacegroup": "Pnma, No. 62", "cell": [[4.776, 0.000, 0.000], [0.000, 6.812, 0.000], [0.000, 0.000, 9.553]], "species": ["Y", "Y", "Y", "Y", "Be", "Be", "Be", "Be", "Dy", "Dy", "Dy", "Dy"], "fractional_positions": [[0.750, 0.502, 0.128], [0.250, 0.002, 0.372], [0.750, 0.998, 0.628], [0.250, 0.498, 0.872], [0.750, 0.751, 0.375], [0.750, 0.749, 0.875], [0.250, 0.249, 0.625], [0.250, 0.251, 0.125], [0.750, 0.498, 0.621], [0.250, 0.998, 0.879], [0.750, 0.002, 0.121], [0.250, 0.502, 0.379]]}


Number 1: volume 19.33 A^3/atom, ΔE_f 0.34 eV/f.u.. Number 2: volume 28.06 A^3/atom, ΔE_f 2.72 eV/f.u.. Number 3: volume 9.29 A^3/atom, ΔE_f -2.04 eV/f.u.. Number 4: volume 25.90 A^3/atom, ΔE_f 0.84 eV/f.u..